Record 1
Computed, not measured: a relaxed structure of Tb2NdTmP4 at the PBE level of DFT.

The calculated formation energy comes out at -12.6 eV per formula unit. Its mass density is 6.7 g/cm³. The value obtained for the total energy is -52.773 eV/f.u.

Structure (CIF):
```
data_Tb2NdTmP4
_chemical_formula_sum 'Tb2 Nd1 Tm1 P4'
_cell_length_a 7.0029
_cell_length_b 4.0467
_cell_length_c 7.0061
_cell_angle_alpha 90.00
_cell_angle_beta 109.46
_cell_angle_gamma 90.00
_symmetry_space_group_name_H-M 'P 1 2/m 1'
_symmetry_Int_Tables_number 10
_symmetry_space_group_name_Hall '-P 2y'
loop_
_atom_site_label
_atom_site_type_symbol
_atom_site_fract_x
_atom_site_fract_y
_atom_site_fract_z
Tb1 Tb 0.0000 0.0000 0.0000
Tb2 Tb 0.5000 0.5000 0.0000
Nd1 Nd 0.0000 0.5000 0.5000
Tm1 Tm 0.5000 0.0000 0.5000
P1 P 0.2561 0.5000 0.2506
P2 P 0.2572 0.0000 0.7540
```

---

Record 2
Computed, not measured: a relaxed structure of Hg3Pb2 at the PBE level of DFT.

The calculated formation energy comes out at 0.4 eV per formula unit. Its mass density is 11.4 g/cm³. The value obtained for the total energy is -7.882 eV/f.u. For the relative energy among the computed polymorphs, the calculation gives 58 meV/atom.

Structure (CIF):
```
data_Hg3Pb2
_chemical_formula_sum 'Hg18 Pb12'
_cell_length_a 6.0755
_cell_length_b 6.0755
_cell_length_c 27.7974
_cell_angle_alpha 90.00
_cell_angle_beta 90.00
_cell_angle_gamma 120.00
_symmetry_space_group_name_H-M 'R -3 c'
_symmetry_Int_Tables_number 167
_symmetry_space_group_name_Hall '-R 3 2"c'
loop_
_atom_site_label
_atom_site_type_symbol
_atom_site_fract_x
_atom_site_fract_y
_atom_site_fract_z
Hg1 Hg 0.0000 0.4606 0.2500
Pb1 Pb 0.0000 0.0000 0.1859
```

---

Record 3
Computed, not measured: a relaxed structure of CaErAlPd at the PBE level of DFT.

The calculated formation energy comes out at -1.9 eV per formula unit. Its mass density is 6.2 g/cm³. The value obtained for the total energy is -17.429 eV/f.u.

Structure (CIF):
```
data_CaErAlPd
_chemical_formula_sum 'Ca4 Er4 Al4 Pd4'
_cell_length_a 7.1435
_cell_length_b 7.1435
_cell_length_c 7.1435
_cell_angle_alpha 90.00
_cell_angle_beta 90.00
_cell_angle_gamma 90.00
_symmetry_space_group_name_H-M 'F -4 3 m'
_symmetry_Int_Tables_number 216
_symmetry_space_group_name_Hall 'F -4 2 3'
loop_
_atom_site_label
_atom_site_type_symbol
_atom_site_fract_x
_atom_site_fract_y
_atom_site_fract_z
Ca1 Ca 0.0000 0.0000 0.0000
Er1 Er 0.0000 0.0000 0.5000
Al1 Al 0.2500 0.2500 0.7500
Pd1 Pd 0.2500 0.2500 0.2500
```

---

Record 4
Computed, not measured: a relaxed structure of ZrPtCl2 at the PBE level of DFT.

Its mass density is 5.6 g/cm³. The uncorrected formation energy is -888.9 meV per atom. The value obtained for the total energy is -21.838 eV/f.u. For the relative energy among the computed polymorphs, the calculation gives 274 meV/atom.

Structure (CIF):
```
data_ZrPtCl2
_chemical_formula_sum 'Zr2 Pt2 Cl4'
_cell_length_a 3.1929
_cell_length_b 4.6743
_cell_length_c 14.0918
_cell_angle_alpha 90.00
_cell_angle_beta 90.00
_cell_angle_gamma 90.00
_symmetry_space_group_name_H-M 'I m m m'
_symmetry_Int_Tables_number 71
_symmetry_space_group_name_Hall '-I 2 2'
loop_
_atom_site_label
_atom_site_type_symbol
_atom_site_fract_x
_atom_site_fract_y
_atom_site_fract_z
Zr1 Zr 0.0000 0.0000 0.0000
Pt1 Pt 0.0000 0.0000 0.5000
Cl1 Cl 0.0000 0.5000 0.3548
```

---

Record 5
Computed, not measured: a relaxed structure of SmSnBr at the PBE level of DFT.

Its mass density is 4.9 g/cm³. The uncorrected formation energy is -726.2 meV per atom. The value obtained for the total energy is -12.573 eV/f.u.

Structure (CIF):
```
data_SmSnBr
_chemical_formula_sum 'Sm4 Sn4 Br4'
_cell_length_a 5.4148
_cell_length_b 18.1647
_cell_length_c 4.8520
_cell_angle_alpha 90.00
_cell_angle_beta 90.00
_cell_angle_gamma 90.00
_symmetry_space_group_name_H-M 'C m c m'
_symmetry_Int_Tables_number 63
_symmetry_space_group_name_Hall '-C 2c 2'
loop_
_atom_site_label
_atom_site_type_symbol
_atom_site_fract_x
_atom_site_fract_y
_atom_site_fract_z
Sm1 Sm 0.0000 0.1214 0.2500
Sn1 Sn 0.0000 0.4550 0.7500
Br1 Br 0.0000 0.2061 0.7500
```

---

Record 6
Computed, not measured: a relaxed structure of CaZn at the PBE level of DFT.

The calculated formation energy comes out at -0.5 eV per formula unit. Its mass density is 3.3 g/cm³. The value obtained for the total energy is -3.774 eV/f.u.

Structure (CIF):
```
data_CaZn
_chemical_formula_sum 'Ca4 Zn4'
_cell_length_a 4.0798
_cell_length_b 11.5807
_cell_length_c 4.4752
_cell_angle_alpha 90.00
_cell_angle_beta 90.00
_cell_angle_gamma 90.00
_symmetry_space_group_name_H-M 'C m c m'
_symmetry_Int_Tables_number 63
_symmetry_space_group_name_Hall '-C 2c 2'
loop_
_atom_site_label
_atom_site_type_symbol
_atom_site_fract_x
_atom_site_fract_y
_atom_site_fract_z
Ca1 Ca 0.0000 0.1473 0.2500
Zn1 Zn 0.0000 0.4363 0.2500
```

---

Record 7
Computed, not measured: a relaxed structure of Ti4In3Hg at the PBE level of DFT.

The calculated formation energy comes out at -0.2 eV per formula unit. Its mass density is 8.0 g/cm³. The value obtained for the total energy is -40.300 eV/f.u. For the relative energy among the computed polymorphs, the calculation gives 0 meV/atom.

Structure (CIF):
```
data_Ti4In3Hg
_chemical_formula_sum 'Ti4 In3 Hg1'
_cell_length_a 3.5909
_cell_length_b 3.5909
_cell_length_c 11.9291
_cell_angle_alpha 90.00
_cell_angle_beta 90.00
_cell_angle_gamma 90.00
_symmetry_space_group_name_H-M 'P 4/m m m'
_symmetry_Int_Tables_number 123
_symmetry_space_group_name_Hall '-P 4 2'
loop_
_atom_site_label
_atom_site_type_symbol
_atom_site_fract_x
_atom_site_fract_y
_atom_site_fract_z
Ti1 Ti 0.0000 0.0000 0.1233
Ti2 Ti 0.0000 0.0000 0.3755
In1 In 0.5000 0.5000 0.2491
In2 In 0.5000 0.5000 0.5000
Hg1 Hg 0.5000 0.5000 0.0000
```

---

Record 8
Computed, not measured: a relaxed structure of AlInIrO6 at the PBE level of DFT.

Its mass density is 7.0 g/cm³. The uncorrected formation energy is -1497.9 meV per atom. The value obtained for the total energy is -58.572 eV/f.u.

Structure (CIF):
```
data_AlInIrO6
_chemical_formula_sum 'Al2 In2 Ir2 O12'
_cell_length_a 5.0649
_cell_length_b 5.0649
_cell_length_c 9.1754
_cell_angle_alpha 90.00
_cell_angle_beta 90.00
_cell_angle_gamma 120.00
_symmetry_space_group_name_H-M 'P -3 1 c'
_symmetry_Int_Tables_number 163
_symmetry_space_group_name_Hall '-P 3 2c'
loop_
_atom_site_label
_atom_site_type_symbol
_atom_site_fract_x
_atom_site_fract_y
_atom_site_fract_z
Al1 Al 0.3333 0.6667 0.2500
In1 In 0.0000 0.0000 0.0000
Ir1 Ir 0.3333 0.6667 0.7500
O1 O 0.0067 0.3618 0.1374
```